(1)
The following is a GGA-PBE calculation of a relaxed Nd8Ir3AuI4 crystal, from Alexandria.

total energy: -89.4 eV/cell
formation energy (no corrections): -15.16 eV/f.u.
space-group type: No. 166

a = 9.484 Å, b = 9.484 Å, c = 9.484 Å
α = 53.40°, β = 53.40°, γ = 53.40°
Sites, in units of the cell vectors:
Nd 0.214 0.736 0.736
Nd 0.229 0.229 0.229
Nd 0.264 0.264 0.786
Nd 0.264 0.786 0.264
Nd 0.736 0.214 0.736
Nd 0.736 0.736 0.214
Nd 0.771 0.771 0.771
Nd 0.786 0.264 0.264
Ir 0.000 0.000 0.500
Ir 0.000 0.500 0.000
Ir 0.500 0.000 0.000
Au 0.500 0.500 0.500
I 0.000 0.000 0.000
I 0.000 0.500 0.500
I 0.500 0.000 0.500
I 0.500 0.500 0.000

---

(2)
The following is a GGA-PBE calculation of a relaxed IrAuI2O crystal, from Alexandria.

total energy: -19.3 eV/cell
offset from the most stable computed form: 0 meV per atom
formation energy (no corrections): 0.86 eV/f.u.
space-group type: No. 123

a = 5.633 Å, b = 5.633 Å, c = 3.737 Å
α = 90.00°, β = 90.00°, γ = 90.00°
Sites, in units of the cell vectors:
Ir 0.000 0.000 0.000
Au 0.500 0.500 0.500
I 0.000 0.500 0.000
I 0.500 0.000 0.000
O 0.000 0.000 0.500